1.
The following is a DFT calculation (PBE) of an optimized crystal structure of GaBi2Pd8.

Its total energy is -5.0685 eV/atom. The volume comes out at 381.24 Å³ per cell. Its density of states at the Fermi level is 8.9 states/eV/cell.

The structure belongs to space group C2/m (No. 12); the cell edges are 14.939, 4.329 and 6.088 Å and the angles 90.00°, 104.45° and 90.00°. The distinct sites, in fractional coordinates, are Ga at (0.000, 0.000, 0.000), Bi at (0.200, 0.500, 0.669), Pd at (0.028, 0.500, 0.765), Pd at (0.083, 0.000, 0.432), Pd at (0.155, 0.500, 0.203) and Pd at (0.161, 0.000, 0.921).

---

2.
The following is a DFT calculation (PBE) of an optimized crystal structure of Ga2Bi2Pd3.

Its total energy is -4.5836 eV/atom. The volume comes out at 300.03 Å³ per cell. Its density of states at the Fermi level is 6.0 states/eV/cell.

The structure belongs to space group C2/m (No. 12); the cell edges are 13.409, 4.056 and 6.098 Å and the angles 90.00°, 115.20° and 90.00°. The distinct sites, in fractional coordinates, are Ga at (0.111, 0.000, 0.475), Bi at (0.134, 0.500, 0.008), Pd at (0.000, 0.500, 0.500) and Pd at (0.237, 0.500, 0.669).

---

3.
The following is a DFT calculation (PBE) of an optimized crystal structure of GaBiPd6.

Its total energy is -4.9630 eV/atom. The volume comes out at 293.35 Å³ per cell. Its density of states at the Fermi level is 6.4 states/eV/cell.

The structure belongs to space group C2/m (No. 12); the cell edges are 7.627, 5.490 and 7.497 Å and the angles 90.00°, 110.86° and 90.00°. The distinct sites, in fractional coordinates, are Ga at (0.000, 0.000, 0.000), Bi at (0.000, 0.500, 0.500), Pd at (0.159, 0.500, 0.951) and Pd at (0.179, 0.255, 0.289).

---

4.
The following is a DFT calculation (PBE) of an optimized crystal structure of Ga2BiPd2.

Its total energy is -4.3528 eV/atom. The volume comes out at 183.43 Å³ per cell. Its density of states at the Fermi level is 3.5 states/eV/cell.

The structure belongs to space group P4/mbm (No. 127); the cell edges are 7.871, 7.871 and 2.961 Å and the angles 90.00°, 90.00° and 90.00°. The distinct sites, in fractional coordinates, are Ga at (0.124, 0.376, 0.000), Bi at (0.000, 0.000, 0.000) and Pd at (0.167, 0.667, 0.500).

---

5.
The following is a DFT calculation (PBE) of an optimized crystal structure of GaBiPd.

Its total energy is -4.2937 eV/atom. The volume comes out at 271.95 Å³ per cell. Its density of states at the Fermi level is 5.1 states/eV/cell.

The structure belongs to space group F-43m (No. 216); the cell edges are 6.479, 6.479 and 6.479 Å and the angles 90.00°, 90.00° and 90.00°. The distinct sites, in fractional coordinates, are Ga at (0.000, 0.000, 0.000), Bi at (0.000, 0.000, 0.500) and Pd at (0.250, 0.250, 0.750).

---

6.
The following is a DFT calculation (PBE) of an optimized crystal structure of Ga2Bi5Pd12.

Its total energy is -4.8339 eV/atom. The volume comes out at 774.33 Å³ per cell. Its density of states at the Fermi level is 18.8 states/eV/cell.

The structure belongs to space group C2/m (No. 12); the cell edges are 15.726, 5.623 and 9.536 Å and the angles 90.00°, 113.32° and 90.00°. The distinct sites, in fractional coordinates, are Ga at (0.000, 0.247, 0.000), Bi at (0.000, 0.000, 0.500), Bi at (0.180, 0.500, 0.779), Bi at (0.195, 0.500, 0.288), Pd at (0.004, 0.500, 0.230), Pd at (0.094, 0.000, 0.231), Pd at (0.151, 0.253, 0.507) and Pd at (0.162, 0.245, 0.015).

---

Question: What is the formula in the second record?
Answer: Ga2Bi2Pd3

---

Question: What is the formula in the fourth record?
Answer: Ga2BiPd2